Here is TbEr3TmSc after structural relaxation from the Alexandria database. Energies are from PBE.

abc: 7.7657 7.7657 9.8243
angles: 90.00 90.00 143.17
Last column: nearest neighbours and their distance in Å.
Positions (direct):
Tb 0.0020 0.9980 0.7500  6 Er 3.46-3.51, 2 Sc 3.46, 4 Tm 3.47
Tb 0.9980 0.0020 0.2500  6 Er 3.46-3.51, 2 Sc 3.46, 4 Tm 3.47
Er 0.1673 0.8327 0.9995  5 Er 3.44-3.47, 2 Tb 3.46-3.50, 3 Sc 3.46-3.47, 2 Tm 3.48
Er 0.1673 0.8327 0.5005  5 Er 3.44-3.47, 2 Tb 3.46-3.50, 3 Sc 3.46-3.47, 2 Tm 3.48
Er 0.3312 0.6688 0.7500  2 Sc 3.44, 6 Er 3.44-3.47, 2 Tm 3.50, 2 Tb 3.51
Er 0.6688 0.3312 0.2500  2 Sc 3.44, 6 Er 3.44-3.47, 2 Tm 3.50, 2 Tb 3.51
Er 0.8327 0.1673 0.0005  5 Er 3.44-3.47, 2 Tb 3.46-3.50, 3 Sc 3.46-3.47, 2 Tm 3.48
Er 0.8327 0.1673 0.4995  5 Er 3.44-3.47, 2 Tb 3.46-3.50, 3 Sc 3.46-3.47, 2 Tm 3.48
Tm 0.5000 0.5000 0.0000  4 Tb 3.47, 6 Er 3.48-3.50, 2 Sc 3.48
Tm 0.5000 0.5000 0.5000  4 Tb 3.47, 6 Er 3.48-3.50, 2 Sc 3.48
Sc 0.3325 0.6675 0.2500  8 Er 3.44-3.47, 2 Tb 3.46, 2 Tm 3.48
Sc 0.6675 0.3325 0.7500  8 Er 3.44-3.47, 2 Tb 3.46, 2 Tm 3.48

Output
* calculated formation energy: 0.037 eV/atom
* uncorrected energy: -57.8 eV per cell